(1)
# AcLa4Pr7 (GGA-PBE, optimized geometry)
# Fermi-level density of states in states/eV/f.u.: 20.3
# E_tot in eV for the cell shown: -57.06
# Crystal system: triclinic
# Magnetization in μB/cell: 0.00
# Energy of formation in kJ per mole of atoms: 1.7
data_AcLa4Pr7
_cell_length_a 6.543
_cell_length_b 7.521
_cell_length_c 9.380
_cell_angle_alpha 89.85
_cell_angle_beta 76.56
_cell_angle_gamma 89.78
_symmetry_space_group_name_H-M 'P -1'
_symmetry_Int_Tables_number 2
_symmetry_space_group_name_Hall '-P 1'
loop_
_atom_site_label
_atom_site_fract_x
_atom_site_fract_y
_atom_site_fract_z
_atom_site_occupancy
Ac1 0.000 0.000 0.000 1
La1 0.218 0.501 0.331 1
La2 0.282 0.253 0.666 1
Pr1 0.000 0.500 0.000 1
Pr2 0.224 0.000 0.334 1
Pr3 0.279 0.746 0.669 1
Pr4 0.500 0.253 0.001 1

=====

(2)
# Pu5Tl2H (GGA-PBE, optimized geometry)
# Fermi-level density of states in states/eV/f.u.: 31.9
# E_tot in eV for the cell shown: -157.36
# Crystal system: tetragonal
# Magnetization in μB/cell: 59.03
data_Pu5Tl2H
_cell_length_a 6.596
_cell_length_b 6.596
_cell_length_c 9.471
_cell_angle_alpha 90.00
_cell_angle_beta 90.00
_cell_angle_gamma 90.00
_symmetry_space_group_name_H-M 'I 4 m m'
_symmetry_Int_Tables_number 107
_symmetry_space_group_name_Hall 'I 4 -2'
loop_
_atom_site_label
_atom_site_fract_x
_atom_site_fract_y
_atom_site_fract_z
_atom_site_occupancy
Pu1 0.000 0.000 0.000 1
Pu2 0.248 0.248 0.257 1
Tl1 0.000 0.500 0.006 1
H1 0.000 0.000 0.746 1

=====

- What is the E_tot in the first record?
  -57.06 eV for the cell shown